(1)
Below is a geometry-optimized BaMgP structure, with properties calculated at the PBE-GGA level.

```
BaMgP
1.0
4.272 0.000 0.000
0.000 4.272 0.000
0.000 0.000 10.301
Ba Mg P
2 2 2
Cartesian
1.068 1.068 1.992
3.204 3.204 8.309
1.068 3.204 5.151
3.204 1.068 5.151
1.068 1.068 6.662
3.204 3.204 3.639
```

Properties
Space group   P4/nmm (129)
ΔE to the lowest computed polymorph   0.0 meV/atom
Energy of formation   -0.7541 eV per atom



(2)
Below is a geometry-optimized Rb2LiCu2Cl7 structure, with properties calculated at the PBE-GGA level.

```
Rb2LiCu2Cl7
1.0
3.459 -3.459 0.000
3.459 3.459 0.000
-3.451 0.000 12.591
Rb Li Cu Cl
2 1 2 7
Cartesian
-0.012 0.000 4.484
3.478 0.000 8.107
0.000 0.000 0.000
0.016 0.000 10.252
3.450 0.000 2.339
1.716 1.726 2.146
0.018 0.000 7.865
1.750 1.726 10.445
3.459 0.000 0.000
1.716 -1.726 2.146
3.448 0.000 4.726
1.750 -1.726 10.445
```

Properties
Energy relative to the elements, uncorrected   -1.123 eV per atom
Space group   C2/m (12)



(3)
Below is a geometry-optimized Nb2SnPtSe structure, with properties calculated at the PBE-GGA level.

```
Nb2SnPtSe
1.0
4.706 0.000 0.000
0.000 4.706 0.000
0.000 0.000 5.240
Nb Sn Pt Se
2 1 1 1
Cartesian
0.000 2.353 0.000
2.353 0.000 0.000
0.000 0.000 2.620
2.353 2.353 2.620
0.000 0.000 0.000
```

Properties
Energy relative to the elements, uncorrected   0.870 eV per atom
Space group   P4/mmm (123)



no.,total moment (μB per formula unit),DOS at the Fermi energy (states/eV/cell),V (Å³/atom)
1,0.00,3.11,31.33
2,0.00,3.22,25.11
3,0.68,6.11,23.21